No. 1
Below is crystalline LiSm2Te4 at its relaxed geometry, with properties calculated at the GGA-PBE level.

Values from the calculation:
space-group type = C2/m (12)
formation energy without anion corrections = -1.164 eV per atom

```
LiSm2Te4
1.0
8.034 -2.172 0.000
8.034 2.172 0.000
-3.607 0.000 6.741
Li Sm Te
1 2 4
direct
0.000 0.000 0.000
0.258 0.258 0.261
0.742 0.742 0.739
0.117 0.117 0.439
0.378 0.378 0.034
0.622 0.622 0.966
0.883 0.883 0.561
```

No. 2
Below is crystalline Ta8Os at its relaxed geometry, with properties calculated at the GGA-PBE level.

Values from the calculation:
energy above the most stable polymorph in this dataset = 231 meV per atom
space-group type = I4/mmm (139)
DFT formation energy = 0.09 eV per atom

```
Ta8Os
1.0
-4.152 4.152 2.358
4.152 -4.152 2.358
4.152 4.152 -2.358
Ta Os
8 1
direct
0.000 0.326 0.326
0.000 0.674 0.674
0.326 0.000 0.326
0.335 0.335 0.670
0.335 0.665 0.000
0.665 0.335 0.000
0.665 0.665 0.330
0.674 0.000 0.674
0.000 0.000 0.000
```

No. 3
Below is crystalline Ce6Ga3Rh at its relaxed geometry, with properties calculated at the GGA-PBE level.

Values from the calculation:
space-group type = R-3 (148)
DFT formation energy = -0.31 eV per atom

```
Ce6Ga3Rh
1.0
5.208 3.007 5.264
-5.208 3.007 5.264
0.000 -6.013 5.264
Ce Ga Rh
12 6 2
direct
0.066 0.686 0.769
0.162 0.456 0.529
0.231 0.934 0.314
0.314 0.231 0.934
0.456 0.529 0.162
0.471 0.838 0.544
0.529 0.162 0.456
0.544 0.471 0.838
0.686 0.769 0.066
0.769 0.066 0.686
0.838 0.544 0.471
0.934 0.314 0.231
0.067 0.672 0.153
0.153 0.067 0.672
0.328 0.847 0.933
0.672 0.153 0.067
0.847 0.933 0.328
0.933 0.328 0.847
0.000 0.000 0.000
0.500 0.500 0.500
```

No. 4
Below is crystalline NaNi2P at its relaxed geometry, with properties calculated at the GGA-PBE level.

Values from the calculation:
space-group type = P4/nmm (129)
DFT formation energy = -0.10 eV per atom

```
NaNi2P
1.0
3.719 0.000 0.000
0.000 3.719 0.000
0.000 0.000 8.470
Na Ni P
2 4 2
direct
0.250 0.250 0.224
0.750 0.750 0.776
0.250 0.250 0.911
0.250 0.750 0.500
0.750 0.250 0.500
0.750 0.750 0.089
0.250 0.250 0.655
0.750 0.750 0.345
```

No. 5
Below is crystalline Ce3NdSe6 at its relaxed geometry, with properties calculated at the GGA-PBE level.

Values from the calculation:
energy above the most stable polymorph in this dataset = 145 meV per atom
space-group type = C2/m (12)
formation energy without anion corrections = -1.663 eV per atom

```
Ce3NdSe6
1.0
6.659 -3.908 0.000
6.659 3.908 0.000
-4.116 0.000 6.177
Ce Nd Se
3 1 6
direct
0.000 0.000 0.000
0.250 0.250 0.695
0.750 0.750 0.305
0.500 0.500 0.500
0.159 0.661 0.661
0.249 0.249 0.089
0.339 0.841 0.339
0.661 0.159 0.661
0.751 0.751 0.911
0.841 0.339 0.339
```

No. 6
Below is crystalline CeTmTcAu at its relaxed geometry, with properties calculated at the GGA-PBE level.

Values from the calculation:
space-group type = F-43m (216)
DFT formation energy = -0.33 eV per atom

```
CeTmTcAu
1.0
0.000 3.517 3.517
3.517 0.000 3.517
3.517 3.517 0.000
Ce Tm Tc Au
1 1 1 1
direct
0.000 0.000 0.000
0.500 0.500 0.500
0.250 0.250 0.250
0.750 0.750 0.750
```

Number 1: total energy -4.58 eV/atom, V 33.6 A^3/atom. Number 2: total energy -11.69 eV/atom, V 18.1 A^3/atom. Number 3: total energy -5.51 eV/atom, V 24.7 A^3/atom. Number 4: total energy -4.68 eV/atom, V 14.6 A^3/atom. Number 5: total energy -6.01 eV/atom, V 32.1 A^3/atom. Number 6: total energy -6.34 eV/atom, V 21.8 A^3/atom.